Entry from Alexandria: a geometry-optimized TcAsWBr2 structure (PBE).

Values from the calculation:
- Crystal system: tetragonal
- Formation energy without anion corrections: 6.35 eV per formula unit
- Uncorrected energy: -4.994 eV/atom
- Excess energy over the best structure of this formula in the dataset: 0.0 kJ/mol of atoms

Unit cell a=5.184 b=5.184 c=4.945 alpha=90.00 beta=90.00 gamma=90.00
Fractional positions:
1 Tc 0.000 0.000 0.000
2 As 0.500 0.500 0.000
3 W 0.500 0.500 0.500
4 Br 0.000 0.500 0.500
5 Br 0.500 0.000 0.500

---

Entry from Alexandria: a geometry-optimized Li6Cd5Pb structure (PBE).

Values from the calculation:
- Crystal system: monoclinic
- Formation enthalpy at 0 K: -25.5 kJ per mole of atoms
- Uncorrected energy: -1.912 eV/atom
- Excess energy over the best structure of this formula in the dataset: 0.0 kJ/mol of atoms

Unit cell a=7.391 b=7.391 c=6.926 alpha=90.02 beta=90.02 gamma=143.10
Fractional positions:
1 Li 0.000 0.000 0.245
2 Li 0.000 0.000 0.755
3 Li 0.332 0.668 0.246
4 Li 0.332 0.668 0.754
5 Li 0.668 0.332 0.246
6 Li 0.668 0.332 0.754
7 Cd 0.167 0.833 0.000
8 Cd 0.170 0.830 0.500
9 Cd 0.500 0.500 0.000
10 Cd 0.830 0.170 0.500
11 Cd 0.833 0.167 0.000
12 Pb 0.500 0.500 0.500

---

Entry from Alexandria: a geometry-optimized KCa2Cd structure (PBE).

Values from the calculation:
- Crystal system: tetragonal
- Formation enthalpy at 0 K: 8.3 kJ per mole of atoms
- Uncorrected energy: -1.418 eV/atom

Unit cell a=6.710 b=6.710 c=6.710 alpha=134.05 beta=134.05 gamma=67.01
Fractional positions:
1 K 0.000 0.000 0.000
2 Ca 0.250 0.750 0.500
3 Ca 0.500 0.500 0.000
4 Cd 0.750 0.250 0.500

---

Entry from Alexandria: a geometry-optimized Cs3YPu2O9 structure (PBE).

Values from the calculation:
- Crystal system: trigonal
- Formation energy without anion corrections: -36.68 eV per formula unit
- Uncorrected energy: -7.933 eV/atom

Unit cell a=6.213 b=6.213 c=7.617 alpha=90.00 beta=90.00 gamma=120.00
Fractional positions:
1 Cs 0.000 0.000 0.000
2 Cs 0.333 0.667 0.663
3 Cs 0.667 0.333 0.337
4 Y 0.000 0.000 0.500
5 Pu 0.333 0.667 0.164
6 Pu 0.667 0.333 0.836
7 O 0.000 0.500 0.000
8 O 0.177 0.355 0.319
9 O 0.177 0.823 0.319
10 O 0.355 0.177 0.681
11 O 0.500 0.000 0.000
12 O 0.500 0.500 0.000
13 O 0.645 0.823 0.319
14 O 0.823 0.177 0.681
15 O 0.823 0.645 0.681

---

Entry from Alexandria: a geometry-optimized Y2Ho2Hg3 structure (PBE).

Values from the calculation:
- Crystal system: monoclinic
- Formation enthalpy at 0 K: -31.9 kJ per mole of atoms
- Uncorrected energy: -3.615 eV/atom

Unit cell a=5.172 b=5.172 c=8.963 alpha=106.69 beta=106.69 gamma=60.17
Fractional positions:
1 Y 0.127 0.127 0.381
2 Y 0.873 0.873 0.619
3 Ho 0.378 0.378 0.135
4 Ho 0.622 0.622 0.865
5 Hg 0.000 0.000 0.000
6 Hg 0.248 0.248 0.746
7 Hg 0.752 0.752 0.254

---

Entry from Alexandria: a geometry-optimized Ca2SmAs3Rh4 structure (PBE).

Values from the calculation:
- Crystal system: tetragonal
- Formation enthalpy at 0 K: -79.9 kJ per mole of atoms
- Uncorrected energy: -6.036 eV/atom

Unit cell a=4.166 b=4.166 c=11.304 alpha=90.00 beta=90.00 gamma=90.00
Fractional positions:
1 Ca 0.000 0.500 0.226
2 Ca 0.500 0.000 0.774
3 Sm 0.000 0.000 0.500
4 As 0.000 0.500 0.874
5 As 0.500 0.000 0.126
6 As 0.500 0.500 0.500
7 Rh 0.000 0.000 0.000
8 Rh 0.000 0.500 0.663
9 Rh 0.500 0.000 0.337
10 Rh 0.500 0.500 0.000

---

Entry from Alexandria: a geometry-optimized SrTeRu2 structure (PBE).

Values from the calculation:
- Crystal system: tetragonal
- Formation energy without anion corrections: 1.87 eV per formula unit
- Uncorrected energy: -5.377 eV/atom

Unit cell a=5.530 b=5.530 c=5.530 alpha=136.47 beta=136.47 gamma=63.25
Fractional positions:
1 Sr 0.000 0.000 0.000
2 Te 0.250 0.750 0.500
3 Ru 0.500 0.500 0.000
4 Ru 0.750 0.250 0.500

---

Entry from Alexandria: a geometry-optimized Ag4Br5F2 structure (PBE).

Values from the calculation:
- Crystal system: triclinic
- Formation energy without anion corrections: -5.53 eV per formula unit
- Uncorrected energy: -2.640 eV/atom

Unit cell a=3.793 b=6.697 c=11.789 alpha=81.61 beta=88.21 gamma=75.52
Fractional positions:
1 Ag 0.132 0.237 0.443
2 Ag 0.273 0.921 0.823
3 Ag 0.727 0.079 0.177
4 Ag 0.868 0.763 0.557
5 Br 0.109 0.360 0.172
6 Br 0.342 0.810 0.159
7 Br 0.500 0.500 0.500
8 Br 0.658 0.190 0.841
9 Br 0.891 0.640 0.828
10 F 0.278 0.938 0.604
11 F 0.722 0.062 0.396